1.
The following is a PBE-GGA calculation of crystalline Rb4Mn3SnCl12 at its relaxed geometry, from Alexandria via LeMat-Bulk.

```
20
Lattice="-5.2199 5.2199 5.2199 5.2199 -5.2199 5.2199 5.2199 5.2199 -5.2199" Properties=species:S:1:pos:R:3 pbc="T T T"
Rb 2.6100 2.6100 -2.6100
Rb 2.6100 -2.6100 2.6100
Rb -2.6100 2.6100 2.6100
Rb 2.6100 2.6100 2.6100
Mn 5.2199 0.0000 0.0000
Mn 0.0000 5.2199 0.0000
Mn 0.0000 0.0000 5.2199
Sn 0.0000 0.0000 0.0000
Cl 2.7691 0.0000 0.0000
Cl 7.6707 0.0000 0.0000
Cl 5.2199 2.6100 0.0000
Cl 5.2199 0.0000 2.6100
Cl 0.0000 2.7691 0.0000
Cl 0.0000 0.0000 2.7691
Cl 2.6100 5.2199 0.0000
Cl 2.6100 0.0000 5.2199
Cl 0.0000 7.6707 0.0000
Cl 0.0000 0.0000 7.6707
Cl 0.0000 5.2199 2.6100
Cl 0.0000 2.6100 5.2199
```

Summary:
Calculated volume, Å³ per cell: 568.9
Energy relative to the elements, uncorrected, eV/atom: -1.432

***

2.
The following is a PBE-GGA calculation of crystalline ZnSi3Ni10 at its relaxed geometry, from Alexandria via LeMat-Bulk.

```
28
Lattice="0.0000 5.5667 5.5667 5.5667 0.0000 5.5667 5.5667 5.5667 0.0000" Properties=species:S:1:pos:R:3 pbc="T T T"
Zn 2.7833 2.7833 2.7833
Zn 8.3500 8.3500 8.3500
Si 5.5667 5.5667 2.5139
Si 5.5667 2.5139 5.5667
Si 8.6195 5.5667 5.5667
Si 2.5139 5.5667 5.5667
Si 5.5667 8.6195 5.5667
Si 5.5667 5.5667 8.6195
Ni 1.3806 1.3806 1.3806
Ni 4.1861 4.1861 1.3806
Ni 4.1861 1.3806 4.1861
Ni 5.5667 3.6479 3.6479
Ni 7.4855 5.5667 3.6479
Ni 7.4855 3.6479 5.5667
Ni 9.7527 6.9473 6.9473
Ni 3.6479 5.5667 3.6479
Ni 5.5667 7.4855 3.6479
Ni 3.6479 3.6479 5.5667
Ni 7.4855 7.4855 5.5667
Ni 5.5667 3.6479 7.4855
Ni 7.4855 5.5667 7.4855
Ni 1.3806 4.1861 4.1861
Ni 3.6479 7.4855 5.5667
Ni 3.6479 5.5667 7.4855
Ni 5.5667 7.4855 7.4855
Ni 6.9473 9.7527 6.9473
Ni 6.9473 6.9473 9.7527
Ni 9.7527 9.7527 9.7527
```

Summary:
Calculated volume, Å³ per cell: 345.0
Energy relative to the elements, uncorrected, eV/atom: -0.224
DOS at the Fermi energy, states/eV/atom: 0.897

***

3.
The following is a PBE-GGA calculation of crystalline K2MgAgHg at its relaxed geometry, from Alexandria via LeMat-Bulk.

```
5
Lattice="6.3498 0.0000 0.0000 0.0000 6.3498 0.0000 0.0000 0.0000 5.3420" Properties=species:S:1:pos:R:3 pbc="T T T"
K 0.0000 3.1749 0.0000
K 3.1749 0.0000 0.0000
Mg 0.0000 0.0000 2.6710
Ag 0.0000 0.0000 0.0000
Hg 3.1749 3.1749 2.6710
```

Summary:
Calculated volume, Å³ per cell: 215.4
ΔE_f, meV/atom: 88
DOS at the Fermi energy, states/eV/atom: 0.867

***

4.
The following is a PBE-GGA calculation of crystalline MnCuSnS4 at its relaxed geometry, from Alexandria via LeMat-Bulk.

```
14
Lattice="-3.5917 3.6733 5.0933 3.5917 -3.6733 5.0933 3.5917 3.6733 -5.0933" Properties=species:S:1:pos:R:3 pbc="T T T"
Mn -1.7958 1.8366 2.5467
Mn 1.7958 1.8366 2.5467
Cu 3.5917 1.8366 -1.3421
Cu 0.0000 1.8366 6.4355
Sn 0.0000 0.0000 0.0000
Sn 0.0000 3.6733 0.0000
S 1.8326 1.8366 0.1830
S 5.3508 1.8366 0.1830
S 3.5917 0.1606 2.5210
S 0.0000 0.1606 2.5724
S 3.5917 3.5127 2.5210
S 0.0000 3.5127 2.5724
S -1.7591 1.8366 4.9104
S 1.7591 1.8366 4.9104
```

Summary:
Calculated volume, Å³ per cell: 268.8
Energy relative to the elements, uncorrected, eV/atom: -0.444
DOS at the Fermi energy, states/eV/atom: 0.410

***

Question: What is the calculated volume in the fourth record?
Answer: 268.8 Å³ per cell

***

Copy entry 1 word for word.
The following is a PBE-GGA calculation of crystalline Rb4Mn3SnCl12 at its relaxed geometry, from Alexandria via LeMat-Bulk.

```
20
Lattice="-5.2199 5.2199 5.2199 5.2199 -5.2199 5.2199 5.2199 5.2199 -5.2199" Properties=species:S:1:pos:R:3 pbc="T T T"
Rb 2.6100 2.6100 -2.6100
Rb 2.6100 -2.6100 2.6100
Rb -2.6100 2.6100 2.6100
Rb 2.6100 2.6100 2.6100
Mn 5.2199 0.0000 0.0000
Mn 0.0000 5.2199 0.0000
Mn 0.0000 0.0000 5.2199
Sn 0.0000 0.0000 0.0000
Cl 2.7691 0.0000 0.0000
Cl 7.6707 0.0000 0.0000
Cl 5.2199 2.6100 0.0000
Cl 5.2199 0.0000 2.6100
Cl 0.0000 2.7691 0.0000
Cl 0.0000 0.0000 2.7691
Cl 2.6100 5.2199 0.0000
Cl 2.6100 0.0000 5.2199
Cl 0.0000 7.6707 0.0000
Cl 0.0000 0.0000 7.6707
Cl 0.0000 5.2199 2.6100
Cl 0.0000 2.6100 5.2199
```

Summary:
Calculated volume, Å³ per cell: 568.9
Energy relative to the elements, uncorrected, eV/atom: -1.432

***

Question: What is the calculated volume in the fourth record?
Answer: 268.8 Å³ per cell